Here is a relaxed structure of BaSnMoO6 from the Alexandria database. Energies are from PBE+U.

Cell: 5.4571 5.4571 11.4404 Å, 90.00 90.00 120.00°
Space group P-31c (No. 163)
Symmetry-distinct sites (fractional):
Ba1 0.0000 0.0000 0.0000 x2
Sn1 0.3333 0.6667 0.2500 x2
Mo1 0.3333 0.6667 0.7500 x2
O1 0.0181 0.4021 0.6513 x12

Values from the calculation:
M_tot in μB/f.u.: 0.0
V in Å³/f.u.: 147.5
Calculated density in g cm⁻³: 5.04
Fermi-level density of states in states/eV per cell: 0.00
Total energy in eV per atom: -6.707